A relaxed structure of FeAg3Cl2F6, computed with PBE+U.

Values from the calculation:
The value obtained for the total magnetization is 4.1 Bohr magnetons per cell. Its crystal system is monoclinic. The final energy is -3.76 eV/atom.

Cell and atoms, written as POSCAR:
```
FeAg3Cl2F6
1.0
6.110 -3.256 0.000
6.110 3.256 0.000
-0.291 0.000 5.080
Fe Ag Cl F
1 3 2 6
direct
0.000 0.000 0.000
0.000 0.500 0.000
0.500 0.000 0.000
0.500 0.500 0.500
0.319 0.319 0.687
0.681 0.681 0.313
0.136 0.136 0.214
0.154 0.711 0.207
0.289 0.846 0.793
0.711 0.154 0.207
0.846 0.289 0.793
0.864 0.864 0.786
```